VASP calculation (PBE-GGA) on crystalline Tc2NiOs at its relaxed geometry.

Unit cell a=2.7237 b=4.2675 c=4.7005 alpha=90.00 beta=90.00 gamma=90.00
Space group Pmm2 (No. 25)
Unique sites:
Tc (0.0000, 0.0000, 0.0000) [1 per cell]
Tc (0.0000, 0.5000, 0.3378) [1 per cell]
Ni (0.5000, 0.5000, 0.8462) [1 per cell]
Os (0.5000, 0.0000, 0.5190) [1 per cell]

Summary:
As for the energy of formation from the pure elements: -0.21 eV per formula unit. The calculation puts the energy relative to the lowest polymorph listed for this composition at 0.0000 eV/atom.

VASP calculation (PBE-GGA) on crystalline U2TcAs at its relaxed geometry.

Unit cell a=4.1135 b=4.1135 c=4.2931 alpha=90.00 beta=90.00 gamma=90.00
Space group P4/mmm (No. 123)
Unique sites:
U (0.0000, 0.5000, 0.0000) [2 per cell]
Tc (0.0000, 0.0000, 0.5000) [1 per cell]
As (0.5000, 0.5000, 0.5000) [1 per cell]

Summary:
As for the energy of formation from the pure elements: -0.99 eV per formula unit. The calculation puts the energy relative to the lowest polymorph listed for this composition at 0.0556 eV/atom.

VASP calculation (PBE-GGA) on crystalline GaBr2F at its relaxed geometry.

Unit cell a=7.3458 b=4.9728 c=16.9452 alpha=90.00 beta=90.00 gamma=90.00
Space group Pnna (No. 52)
Unique sites:
Ga (0.2500, 0.0000, 0.1721) [4 per cell]
Br (0.0039, 0.1903, 0.1135) [8 per cell]
F (0.1602, 0.7500, 0.2500) [4 per cell]

Summary:
The calculation puts the energy relative to the lowest polymorph listed for this composition at 0.0000 eV/atom. The value obtained for the formation energy from raw total energies is -1.39 eV per atom.

VASP calculation (PBE-GGA) on crystalline Tl5Ga2Au4 at its relaxed geometry.

Unit cell a=4.0079 b=8.7380 c=8.7398 alpha=70.27 beta=77.45 gamma=77.74
Space group P-1 (No. 2)
Unique sites:
Tl (0.0000, 0.0000, 0.0000) [1 per cell]
Tl (0.2456, 0.6650, 0.8447) [2 per cell]
Tl (0.3577, 0.9545, 0.3389) [2 per cell]
Ga (0.0435, 0.5997, 0.3163) [2 per cell]
Au (0.1407, 0.2746, 0.4387) [2 per cell]
Au (0.4105, 0.2963, 0.8835) [2 per cell]

Summary:
As for the energy of formation from the pure elements: -0.78 eV per formula unit.

VASP calculation (PBE-GGA) on crystalline Tl2V2AgTe6 at its relaxed geometry.

Unit cell a=7.1764 b=11.9166 c=8.0149 alpha=90.00 beta=103.34 gamma=90.00
Space group C2/m (No. 12)
Unique sites:
Tl (0.0000, 0.1762, 0.0000) [4 per cell]
V (0.0000, 0.3598, 0.5000) [4 per cell]
Ag (0.0000, 0.0000, 0.5000) [2 per cell]
Te (0.1580, 0.5000, 0.7463) [4 per cell]
Te (0.2178, 0.1832, 0.6763) [8 per cell]

Summary:
The value obtained for the formation energy from raw total energies is -0.20 eV per atom.

VASP calculation (PBE-GGA) on crystalline Cs2TbSO6 at its relaxed geometry.

Unit cell a=6.6766 b=6.6766 c=5.6227 alpha=90.00 beta=90.00 gamma=120.00
Space group P-3m1 (No. 164)
Unique sites:
Cs (0.3333, 0.6667, 0.1350) [2 per cell]
Tb (0.0000, 0.0000, 0.5000) [1 per cell]
S (0.0000, 0.0000, 0.0000) [1 per cell]
O (0.1194, 0.2388, 0.8238) [6 per cell]

Summary:
The value obtained for the formation energy from raw total energies is -1.61 eV per atom.

VASP calculation (PBE-GGA) on crystalline Dy2InGa2Rh5 at its relaxed geometry.

Unit cell a=9.8544 b=9.8544 c=3.5883 alpha=90.00 beta=90.00 gamma=90.00
Space group P4/mbm (No. 127)
Unique sites:
Dy (0.1744, 0.3256, 0.0000) [4 per cell]
In (0.0000, 0.0000, 0.0000) [2 per cell]
Ga (0.1236, 0.6236, 0.0000) [4 per cell]
Rh (0.0000, 0.5000, 0.5000) [2 per cell]
Rh (0.0687, 0.7915, 0.5000) [8 per cell]

Summary:
As for the energy of formation from the pure elements: -7.86 eV per formula unit.

VASP calculation (PBE-GGA) on crystalline BaInCo2Hg at its relaxed geometry.

Unit cell a=5.0450 b=5.0450 c=5.4767 alpha=90.00 beta=90.00 gamma=90.00
Space group P4/mmm (No. 123)
Unique sites:
Ba (0.0000, 0.0000, 0.0000) [1 per cell]
In (0.5000, 0.5000, 0.5000) [1 per cell]
Co (0.0000, 0.5000, 0.5000) [2 per cell]
Hg (0.5000, 0.5000, 0.0000) [1 per cell]

Summary:
As for the energy of formation from the pure elements: 3.18 eV per formula unit.

VASP calculation (PBE-GGA) on crystalline LaRhSe2 at its relaxed geometry.

Unit cell a=3.8971 b=3.8971 c=6.0560 alpha=90.00 beta=90.00 gamma=90.00
Space group P4mm (No. 99)
Unique sites:
La (0.0000, 0.0000, 0.0000) [1 per cell]
Rh (0.5000, 0.5000, 0.4012) [1 per cell]
Se (0.0000, 0.0000, 0.4672) [1 per cell]
Se (0.5000, 0.5000, 0.8332) [1 per cell]

Summary:
The calculation puts the energy relative to the lowest polymorph listed for this composition at 0.1911 eV/atom. The value obtained for the formation energy from raw total energies is -0.95 eV per atom.

VASP calculation (PBE-GGA) on crystalline InSi2Se at its relaxed geometry.

Unit cell a=3.3871 b=5.4731 c=8.9856 alpha=90.00 beta=90.00 gamma=90.00
Space group Imm2 (No. 44)
Unique sites:
In (0.0000, 0.0000, 0.0000) [2 per cell]
Si (0.0000, 0.0000, 0.5112) [2 per cell]
Si (0.0000, 0.5000, 0.2120) [2 per cell]
Se (0.0000, 0.5000, 0.8114) [2 per cell]

Summary:
The value obtained for the formation energy from raw total energies is 0.36 eV per atom.

VASP calculation (PBE-GGA) on crystalline CsCd2In at its relaxed geometry.

Unit cell a=9.1755 b=12.7933 c=5.9924 alpha=90.00 beta=119.31 gamma=90.00
Space group C2/c (No. 15)
Unique sites:
Cs (0.0000, 0.1291, 0.2500) [4 per cell]
Cd (0.1717, 0.3476, 0.9848) [8 per cell]
In (0.0000, 0.4476, 0.2500) [4 per cell]

Summary:
As for the energy of formation from the pure elements: -0.13 eV per formula unit.

VASP calculation (PBE-GGA) on crystalline RbTe3Pd3 at its relaxed geometry.

Unit cell a=7.3057 b=7.3057 c=27.7085 alpha=90.00 beta=90.00 gamma=120.00
Space group R-3 (No. 148, hexagonal axes)
Unique sites:
Rb (0.0000, 0.0000, 0.1672) [6 per cell]
Te (0.0016, 0.3287, 0.5979) [18 per cell]
Pd (0.0016, 0.3383, 0.3633) [18 per cell]

Summary:
The calculation puts the energy relative to the lowest polymorph listed for this composition at 0.0176 eV/atom. The value obtained for the formation energy from raw total energies is -0.42 eV per atom.

VASP calculation (PBE-GGA) on crystalline KBaMn2Ge at its relaxed geometry.

Unit cell a=4.9503 b=4.9503 c=5.8463 alpha=90.00 beta=90.00 gamma=90.00
Space group P4/mmm (No. 123)
Unique sites:
K (0.0000, 0.0000, 0.0000) [1 per cell]
Ba (0.0000, 0.0000, 0.5000) [1 per cell]
Mn (0.0000, 0.5000, 0.5000) [2 per cell]
Ge (0.5000, 0.5000, 0.0000) [1 per cell]

Summary:
As for the energy of formation from the pure elements: 11.25 eV per formula unit.

VASP calculation (PBE-GGA) on crystalline Hf2Tc4W at its relaxed geometry.

Unit cell a=6.2219 b=6.2219 c=6.4475 alpha=90.00 beta=90.00 gamma=90.00
Space group I4/mmm (No. 139)
Unique sites:
Hf (0.0000, 0.5000, 0.0000) [4 per cell]
Tc (0.2500, 0.2500, 0.2500) [8 per cell]
W (0.0000, 0.0000, 0.0000) [2 per cell]

Summary:
As for the energy of formation from the pure elements: 1.66 eV per formula unit.

VASP calculation (PBE-GGA) on crystalline MgPPt at its relaxed geometry.

Unit cell a=3.5507 b=3.5507 c=7.6874 alpha=90.00 beta=90.00 gamma=90.00
Space group I4mm (No. 107)
Unique sites:
Mg (0.0000, 0.0000, 0.0000) [2 per cell]
P (0.0000, 0.0000, 0.6652) [2 per cell]
Pt (0.0000, 0.0000, 0.3526) [2 per cell]

Summary:
As for the energy of formation from the pure elements: -1.05 eV per formula unit.

VASP calculation (PBE-GGA) on crystalline TlHgB at its relaxed geometry.

Unit cell a=4.0366 b=4.0366 c=9.7956 alpha=90.00 beta=90.00 gamma=120.00
Space group P6_3/mmc (No. 194)
Unique sites:
Tl (0.3333, 0.6667, 0.2500) [2 per cell]
Hg (0.0000, 0.0000, 0.0000) [2 per cell]
B (0.3333, 0.6667, 0.7500) [2 per cell]

Summary:
As for the energy of formation from the pure elements: 3.27 eV per formula unit.

VASP calculation (PBE-GGA) on crystalline ScMo2Os at its relaxed geometry.

Unit cell a=4.5236 b=4.5236 c=3.1432 alpha=90.00 beta=90.00 gamma=90.00
Space group P4/mmm (No. 123)
Unique sites:
Sc (0.0000, 0.0000, 0.0000) [1 per cell]
Mo (0.0000, 0.5000, 0.5000) [2 per cell]
Os (0.5000, 0.5000, 0.0000) [1 per cell]

Summary:
As for the energy of formation from the pure elements: 0.46 eV per formula unit. The calculation puts the energy relative to the lowest polymorph listed for this composition at 0.2293 eV/atom.

VASP calculation (PBE-GGA) on crystalline Mn4CuPt at its relaxed geometry.

Unit cell a=6.6534 b=6.6534 c=6.6534 alpha=90.00 beta=90.00 gamma=90.00
Space group F-43m (No. 216)
Unique sites:
Mn (0.1247, 0.1247, 0.1247) [16 per cell]
Cu (0.2500, 0.2500, 0.7500) [4 per cell]
Pt (0.0000, 0.0000, 0.5000) [4 per cell]

Summary:
As for the energy of formation from the pure elements: 1.11 eV per formula unit.

VASP calculation (PBE-GGA) on crystalline LaYCdSn at its relaxed geometry.

Unit cell a=7.6809 b=7.6809 c=7.6809 alpha=90.00 beta=90.00 gamma=90.00
Space group F-43m (No. 216)
Unique sites:
La (0.0000, 0.0000, 0.0000) [4 per cell]
Y (0.0000, 0.0000, 0.5000) [4 per cell]
Cd (0.2500, 0.2500, 0.2500) [4 per cell]
Sn (0.2500, 0.2500, 0.7500) [4 per cell]

Summary:
As for the energy of formation from the pure elements: -2.19 eV per formula unit.

VASP calculation (PBE-GGA) on crystalline Cd2PO4 at its relaxed geometry.

Unit cell a=6.3181 b=5.5236 c=6.5030 alpha=90.00 beta=104.43 gamma=90.00
Space group P2_1/m (No. 11)
Unique sites:
Cd (0.1280, 0.2500, 0.2861) [2 per cell]
Cd (0.3501, 0.7500, 0.8044) [2 per cell]
P (0.3980, 0.7500, 0.2896) [2 per cell]
O (0.2459, 0.7500, 0.4425) [2 per cell]
O (0.3419, 0.5202, 0.1380) [4 per cell]
O (0.3551, 0.2500, 0.6093) [2 per cell]

Summary:
The calculation puts the energy relative to the lowest polymorph listed for this composition at 0.0000 eV/atom. The value obtained for the formation energy from raw total energies is -1.50 eV per atom.

VASP calculation (PBE-GGA) on crystalline PmEr2Tm4Th at its relaxed geometry.

Unit cell a=6.7203 b=11.6846 c=13.1897 alpha=90.00 beta=90.00 gamma=90.00
Space group Imma (No. 74)
Unique sites:
Pm (0.2500, 0.2500, 0.2500) [4 per cell]
Er (0.0000, 0.0000, 0.0000) [4 per cell]
Er (0.2500, 0.2500, 0.7500) [4 per cell]
Tm (0.0000, 0.0024, 0.7521) [8 per cell]
Tm (0.2466, 0.2500, 0.5032) [8 per cell]
Th (0.0000, 0.0000, 0.5000) [4 per cell]

Summary:
As for the energy of formation from the pure elements: 3.63 eV per formula unit.

VASP calculation (PBE-GGA) on crystalline GaTcP2 at its relaxed geometry.

Unit cell a=5.3878 b=5.3878 c=11.0716 alpha=90.00 beta=90.00 gamma=90.00
Space group I-42d (No. 122)
Unique sites:
Ga (0.0000, 0.0000, 0.0000) [4 per cell]
Tc (0.0000, 0.0000, 0.5000) [4 per cell]
P (0.2270, 0.2500, 0.6250) [8 per cell]

Summary:
As for the energy of formation from the pure elements: -0.28 eV per formula unit.

VASP calculation (PBE-GGA) on crystalline La2NdHoAs4 at its relaxed geometry.

Unit cell a=7.4141 b=4.2855 c=7.4157 alpha=90.00 beta=109.46 gamma=90.00
Space group P2/m (No. 10)
Unique sites:
La (0.0000, 0.0000, 0.0000) [1 per cell]
La (0.0000, 0.5000, 0.5000) [1 per cell]
Nd (0.5000, 0.0000, 0.5000) [1 per cell]
Ho (0.5000, 0.5000, 0.0000) [1 per cell]
As (0.2577, 0.5000, 0.2479) [2 per cell]
As (0.2609, 0.0000, 0.7582) [2 per cell]

Summary:
As for the energy of formation from the pure elements: -12.29 eV per formula unit.

VASP calculation (PBE-GGA) on crystalline BaFeSe2Br at its relaxed geometry.

Unit cell a=4.9074 b=4.9074 c=5.4761 alpha=90.00 beta=90.00 gamma=90.00
Space group P4/mmm (No. 123)
Unique sites:
Ba (0.0000, 0.0000, 0.0000) [1 per cell]
Fe (0.5000, 0.5000, 0.5000) [1 per cell]
Se (0.0000, 0.5000, 0.5000) [2 per cell]
Br (0.5000, 0.5000, 0.0000) [1 per cell]

Summary:
The value obtained for the formation energy from raw total energies is -0.94 eV per atom.